1.
Material: La4RhPb
Method: DFT, PBE
State: relaxed

Structure (CIF):
```
data_La4RhPb
_space_group_name_H-M_alt 'P 1 21/m 1'
_space_group_IT_number 11
_cell_length_a 6.366
_cell_length_b 7.187
_cell_length_c 8.555
_cell_angle_alpha 90.00
_cell_angle_beta 95.57
_cell_angle_gamma 90.00
loop_
_space_group_symop_operation_xyz
'x,y,z'
'-x,-y,-z'
'-x,y+1/2,-z'
'x,-y+1/2,z'
loop_
_atom_site_label
_atom_site_type_symbol
_atom_site_fract_x
_atom_site_fract_y
_atom_site_fract_z
La1 La 0.107 0.250 0.067
La2 La 0.166 0.750 0.369
La3 La 0.386 0.509 0.779
Rh1 Rh 0.329 0.750 0.062
Pb1 Pb 0.278 0.250 0.444
```

Polymorph energy (0 for the lowest one) = 0.0 meV per atom
E_tot = -5.635 eV/atom
Energy relative to the elements = -293 kJ/mol of formula units
Spin magnetization = 0.000 μB/cell

***

2.
Material: La6Rh2Pb
Method: DFT, PBE
State: relaxed

Structure (CIF):
```
data_La6Rh2Pb
_space_group_name_H-M_alt 'C 1 2/m 1'
_space_group_IT_number 12
_cell_length_a 11.311
_cell_length_b 5.075
_cell_length_c 9.413
_cell_angle_alpha 90.00
_cell_angle_beta 94.25
_cell_angle_gamma 90.00
loop_
_space_group_symop_operation_xyz
'x,y,z'
'-x,-y,-z'
'-x,y,-z'
'x,-y,z'
'x+1/2,y+1/2,z'
'-x+1/2,-y+1/2,-z'
'-x+1/2,y+1/2,-z'
'x+1/2,-y+1/2,z'
loop_
_atom_site_label
_atom_site_type_symbol
_atom_site_fract_x
_atom_site_fract_y
_atom_site_fract_z
La1 La 0.089 0.000 0.362
La2 La 0.104 0.500 0.671
La3 La 0.199 0.500 0.110
Rh1 Rh 0.244 0.500 0.386
Pb1 Pb 0.000 0.000 0.000
```

E_tot = -5.831 eV/atom
Energy relative to the elements = -434 kJ/mol of formula units
Spin magnetization = 0.000 μB/cell

***

3.
Material: La3Rh8Pb
Method: DFT, PBE
State: relaxed

Structure (CIF):
```
data_La3Rh8Pb
_space_group_name_H-M_alt 'R 3 m'
_space_group_IT_number 160
_space_group_name_Hall 'R 3 -2"'
_cell_length_a 5.4158
_cell_length_b 5.4158
_cell_length_c 26.7768
_cell_angle_alpha 90.00
_cell_angle_beta 90.00
_cell_angle_gamma 120.00
loop_
_atom_site_label
_atom_site_type_symbol
_atom_site_fract_x
_atom_site_fract_y
_atom_site_fract_z
La1 La 0.0000 0.0000 0.0000
La2 La 0.0000 0.0000 0.1271
La3 La 0.0000 0.0000 0.6218
Rh1 Rh 0.0000 0.0000 0.3119
Rh2 Rh 0.0000 0.0000 0.8123
Rh3 Rh 0.0006 0.5003 0.5616
Rh4 Rh 0.0013 0.5006 0.0623
Pb1 Pb 0.0000 0.0000 0.4987
```

E_tot = -6.981 eV/atom
Energy relative to the elements = -624 kJ/mol of formula units
Spin magnetization = 0.000 μB/cell

***

4.
Material: La3RhPb
Method: DFT, PBE
State: relaxed

Structure (CIF):
```
data_La3RhPb
_space_group_name_H-M_alt 'P m -3 m'
_space_group_IT_number 221
_space_group_name_Hall '-P 4 2 3'
_cell_length_a 5.532
_cell_length_b 5.532
_cell_length_c 5.532
_cell_angle_alpha 90.00
_cell_angle_beta 90.00
_cell_angle_gamma 90.00
loop_
_atom_site_label
_atom_site_type_symbol
_atom_site_fract_x
_atom_site_fract_y
_atom_site_fract_z
La1 La 0.000 0.000 0.500
Rh1 Rh 0.000 0.000 0.000
Pb1 Pb 0.500 0.500 0.500
```

Polymorph energy (0 for the lowest one) = 121.9 meV per atom
E_tot = -5.700 eV/atom
Energy relative to the elements = -256 kJ/mol of formula units
Spin magnetization = 0.000 μB/cell

***

5.
Material: LaRh4Pb
Method: DFT, PBE
State: relaxed

Structure (CIF):
```
data_LaRh4Pb
_space_group_name_H-M_alt 'F -4 3 m'
_space_group_IT_number 216
_space_group_name_Hall 'F -4 2 3'
_cell_length_a 7.650
_cell_length_b 7.650
_cell_length_c 7.650
_cell_angle_alpha 90.00
_cell_angle_beta 90.00
_cell_angle_gamma 90.00
loop_
_atom_site_label
_atom_site_type_symbol
_atom_site_fract_x
_atom_site_fract_y
_atom_site_fract_z
La1 La 0.000 0.000 0.000
Rh1 Rh 0.124 0.124 0.376
Pb1 Pb 0.250 0.250 0.750
```

E_tot = -6.706 eV/atom
Energy relative to the elements = -212 kJ/mol of formula units
Spin magnetization = 0.000 μB/cell

***

6.
Material: La2Rh3Pb2
Method: DFT, PBE
State: relaxed

Structure (CIF):
```
data_La2Rh3Pb2
_space_group_name_H-M_alt 'I 21 3'
_space_group_IT_number 199
_space_group_name_Hall 'I 2b 2c 3'
_cell_length_a 8.818
_cell_length_b 8.818
_cell_length_c 8.818
_cell_angle_alpha 90.00
_cell_angle_beta 90.00
_cell_angle_gamma 90.00
loop_
_atom_site_label
_atom_site_type_symbol
_atom_site_fract_x
_atom_site_fract_y
_atom_site_fract_z
La1 La 0.236 0.236 0.236
Rh1 Rh 0.000 0.250 0.022
Pb1 Pb 0.051 0.449 0.551
```

E_tot = -6.177 eV/atom
Energy relative to the elements = -378 kJ/mol of formula units
Spin magnetization = 0.000 μB/cell